No. 1
Mg2TaIr2 | PBEsol | optimized geometry

**Crystal system**: tetragonal
**Formation enthalpy at 0 K**: 2.90 eV/f.u.
**N(E_F)**: 0.773 states/eV per atom
**SG**: I4/mmm (139)

a b c (Å): 4.3384 4.3384 5.3605
angles (deg): 113.87 113.87 90.00
Closest atoms and distances in Å follow each position.
Positions (direct):
Mg: 0.3703 0.3703 0.7406  1 Mg 2.28, 4 Ir 2.41
Ir: 0.7500 0.2500 0.5000  4 Mg 2.41
Ta: 0.0000 0.0000 0.0000  8 Ir 3.09, 10 Mg 3.26-3.27
Ir: 0.2500 0.7500 0.5000  4 Mg 2.41
Mg: 0.6297 0.6297 0.2594  1 Mg 2.28, 4 Ir 2.41

=====

No. 2
Mg2TaIr | PBEsol | optimized geometry

**Crystal system**: orthorhombic
**Formation enthalpy at 0 K**: -0.27 eV/f.u.
**Offset from the most stable computed form**: 0.0 kJ per mole of atoms
**N(E_F)**: 0.471 states/eV per atom
**SG**: Pmmm (47)

a b c (Å): 3.5396 4.1244 4.5578
angles (deg): 90.00 90.00 90.00
Closest atoms and distances in Å follow each position.
Positions (direct):
Ir: 0.0000 0.5000 0.5000  4 Ta 2.72, 4 Mg 2.89
Mg: 0.5000 0.5000 0.0000  4 Mg 2.72, 4 Ir 2.89
Ta: 0.5000 0.0000 0.5000  4 Ir 2.72, 4 Mg 2.89
Mg: 0.0000 0.0000 0.0000  4 Mg 2.72, 4 Ta 2.89

=====

No. 3
Tb4MgIr | PBEsol | optimized geometry

**Crystal system**: cubic
**Formation enthalpy at 0 K**: -2.41 eV/f.u.
**N(E_F)**: 0.905 states/eV per atom
**SG**: F-43m (216)

a b c (Å): 9.5937 9.5937 9.5937
angles (deg): 60.00 60.00 60.00
Closest atoms and distances in Å follow each position.
Positions (direct):
Mg: 0.5798 0.5798 0.2606  3 Mg 3.06, 3 Tb 3.27
Ir: 0.1416 0.5752 0.1416  6 Tb 2.79
Tb: 0.8125 0.8125 0.1875  2 Ir 2.79
Mg: 0.5798 0.5798 0.5798  3 Mg 3.06, 3 Tb 3.27
Mg: 0.2606 0.5798 0.5798  3 Mg 3.06, 3 Tb 3.27
Tb: 0.5624 0.5624 0.9376  2 Mg 3.27, 2 Ir 3.46, 10 Tb 3.46-3.60
Tb: 0.9598 0.3467 0.3467  3 Ir 2.79
Tb: 0.3467 0.3467 0.3467  3 Ir 2.79
Tb: 0.9376 0.5624 0.9376  2 Mg 3.27, 2 Ir 3.46, 10 Tb 3.46-3.60
Tb: 0.3467 0.9598 0.3467  3 Ir 2.79
Mg: 0.5798 0.2606 0.5798  3 Mg 3.06, 3 Tb 3.27
Ir: 0.5752 0.1416 0.1416  6 Tb 2.79
Tb: 0.9376 0.9376 0.5624  2 Mg 3.27, 2 Ir 3.46, 10 Tb 3.46-3.60
Tb: 0.8125 0.1875 0.8125  2 Ir 2.79
Tb: 0.1875 0.8125 0.8125  2 Ir 2.79
Tb: 0.3467 0.3467 0.9598  3 Ir 2.79
Tb: 0.5624 0.9376 0.9376  2 Mg 3.27, 2 Ir 3.46, 10 Tb 3.46-3.60
Tb: 0.1875 0.1875 0.8125  2 Ir 2.79
Tb: 0.9376 0.5624 0.5624  2 Mg 3.27, 2 Ir 3.46, 10 Tb 3.46-3.60
Tb: 0.1875 0.8125 0.1875  2 Ir 2.79
Tb: 0.5624 0.9376 0.5624  2 Mg 3.27, 2 Ir 3.46, 10 Tb 3.46-3.60
Ir: 0.1416 0.1416 0.5752  6 Tb 2.79
Ir: 0.1416 0.1416 0.1416  6 Tb 2.79
Tb: 0.8125 0.1875 0.1875  2 Ir 2.79

=====

No. 4
Mg2TcIr | PBEsol | optimized geometry

**Crystal system**: tetragonal
**Formation enthalpy at 0 K**: 0.66 eV/f.u.
**N(E_F)**: 0.749 states/eV per atom
**SG**: I4/mmm (139)

a b c (Å): 3.8178 3.8178 5.0040
angles (deg): 112.42 112.42 90.00
Closest atoms and distances in Å follow each position.
Positions (direct):
Tc: 0.5000 0.5000 0.0000  4 Ir 2.70, 8 Mg 2.84
Mg: 0.7500 0.2500 0.5000  4 Mg 2.70, 4 Tc 2.84, 4 Ir 2.84
Ir: 0.0000 0.0000 0.0000  4 Tc 2.70, 8 Mg 2.84
Mg: 0.2500 0.7500 0.5000  4 Mg 2.70, 4 Tc 2.84, 4 Ir 2.84

=====

No. 5
Mg2TeIr | PBEsol | optimized geometry

**Crystal system**: tetragonal
**N(E_F)**: 0.467 states/eV per atom
**SG**: I4/mmm (139)
**Uncorrected formation energy**: -0.157 eV per atom

a b c (Å): 4.0968 4.0912 5.1696
angles (deg): 113.31 113.34 90.00
Closest atoms and distances in Å follow each position.
Positions (direct):
Ir: 0.0000 0.5000 0.0000  4 Te 2.89, 8 Mg 2.96
Mg: 0.2499 0.2499 0.4998  4 Mg 2.89, 4 Ir 2.96, 4 Te 2.96
Mg: 0.7501 0.7501 0.5002  4 Mg 2.89, 4 Ir 2.96, 4 Te 2.96
Te: 0.5000 0.0000 0.0000  4 Ir 2.89, 8 Mg 2.96

=====

No. 6
MgTe2Ir | PBEsol | optimized geometry

**Crystal system**: tetragonal
**N(E_F)**: 0.790 states/eV per atom
**SG**: P4/mmm (123)
**Uncorrected formation energy**: 0.196 eV per atom

a b c (Å): 3.3576 3.3576 7.4849
angles (deg): 90.00 90.00 90.00
Closest atoms and distances in Å follow each position.
Positions (direct):
Te: 0.0000 0.0000 0.2198  4 Ir 2.89, 4 Mg 3.17
Te: 0.0000 0.0000 0.7802  4 Ir 2.89, 4 Mg 3.17
Mg: 0.5000 0.5000 0.5000  8 Te 3.17, 4 Mg 3.36
Ir: 0.5000 0.5000 0.0000  8 Te 2.89

=====

Number 1: density 12.32 Mg/m³. Number 2: density 10.53 Mg/m³. Number 3: density 9.07 Mg/m³. Number 4: density 9.16 Mg/m³. Number 5: density 8.52 Mg/m³. Number 6: density 9.28 Mg/m³.